Entry 1:
This record from Alexandria via LeMat-Bulk describes a geometry-optimized SrCa2LaAu structure. The functional is PBE-GGA.

Calculated values
Energy of formation, eV/atom: -0.2798
Volume, Å³ per atom: 40.7
Space-group type: P4/mmm

a = 5.904 Å, b = 5.904 Å, c = 5.845 Å
α = 90.00°, β = 90.00°, γ = 90.00°
Positions (direct):
1 Sr 0.500 0.500 0.500
2 Ca 0.000 0.500 0.000
3 Ca 0.500 0.000 0.000
4 Au 0.000 0.000 0.000
5 La 0.000 0.000 0.500



Entry 2:
This record from Alexandria via LeMat-Bulk describes a geometry-optimized Ho3Re3B8 structure. The functional is PBE-GGA.

Calculated values
Energy of formation, eV/atom: -0.1367
Volume, Å³ per atom: 12.4
Space-group type: Immm

a = 3.144 Å, b = 7.738 Å, c = 7.738 Å
α = 73.10°, β = 78.28°, γ = 78.28°
Positions (direct):
1 Ho 0.500 0.500 0.500
2 Ho 0.786 0.214 0.214
3 Ho 0.214 0.786 0.786
4 Re 0.500 0.000 0.000
5 Re 0.000 0.776 0.224
6 Re 0.000 0.224 0.776
7 B 0.639 0.120 0.601
8 B 0.361 0.880 0.399
9 B 0.639 0.601 0.120
10 B 0.361 0.399 0.880
11 B 0.839 0.833 0.490
12 B 0.161 0.167 0.510
13 B 0.839 0.490 0.833
14 B 0.161 0.510 0.167